1.
The following is a GGA-PBE calculation of crystalline Ti6AlPb2 at its relaxed geometry, from Alexandria via LeMat-Bulk.

Cell lengths 3.6795, 7.3497, 7.3500 Å; angles 120.00, 90.00, 90.00 degrees
With the nearest neighbours (Å) after each atom.
Sites, in units of the cell vectors:
Al 0.5000 0.0000 0.0000  9 Ti 2.55-2.79
Ti 0.5000 0.3799 0.3799  1 Al 2.79, 4 Pb 2.94, 4 Ti 3.06
Ti 0.0000 0.2406 0.0000  2 Al 2.55, 2 Pb 2.85
Ti 0.0000 0.0000 0.2405  2 Al 2.55, 2 Pb 2.85
Pb 0.0000 0.3333 0.6667  9 Ti 2.85-2.94
Ti 0.5000 0.6201 0.0000  1 Al 2.79, 4 Pb 2.94, 4 Ti 3.06
Ti 0.0000 0.7595 0.7595  2 Al 2.55, 2 Pb 2.85
Pb 0.0000 0.6667 0.3333  9 Ti 2.85-2.94
Ti 0.5000 0.0000 0.6201  1 Al 2.79, 4 Pb 2.94, 4 Ti 3.06

Properties
Formation energy from the elements in meV/atom: -87.9
Fermi-level density of states in states/eV per atom: 0.98
DFT total energy in eV/atom: -6.59

2.
The following is a GGA-PBE calculation of crystalline Y3Mo at its relaxed geometry, from Alexandria via LeMat-Bulk.

Cell lengths 7.9278, 9.2392, 6.0567 Å; angles 90.00, 90.00, 90.00 degrees
With the nearest neighbours (Å) after each atom.
Sites, in units of the cell vectors:
Mo 0.8766 0.2500 0.4331  8 Y 2.92-3.16
Y 0.8269 0.5626 0.6330  3 Mo 2.95-3.16
Y 0.1731 0.0626 0.3670  3 Mo 2.95-3.16
Y 0.9654 0.7500 0.1123  2 Mo 2.92-3.02
Y 0.1731 0.4374 0.3670  3 Mo 2.95-3.16
Mo 0.3766 0.2500 0.0669  8 Y 2.92-3.16
Y 0.6731 0.0626 0.1330  3 Mo 2.95-3.16
Y 0.0346 0.2500 0.8877  2 Mo 2.92-3.02
Mo 0.6234 0.7500 0.9331  8 Y 2.92-3.16
Y 0.3269 0.9374 0.8670  3 Mo 2.95-3.16
Y 0.3269 0.5626 0.8670  3 Mo 2.95-3.16
Y 0.6731 0.4374 0.1330  3 Mo 2.95-3.16
Mo 0.1234 0.7500 0.5669  8 Y 2.92-3.16
Y 0.4654 0.7500 0.3877  2 Mo 2.92-3.02
Y 0.8269 0.9374 0.6330  3 Mo 2.95-3.16
Y 0.5346 0.2500 0.6123  2 Mo 2.92-3.02

Properties
Formation energy from the elements in meV/atom: 175.8
Fermi-level density of states in states/eV per atom: 1.02
DFT total energy in eV/atom: -7.38
E above lowest polymorph in eV per atom: 0.000

3.
The following is a GGA-PBE calculation of crystalline Mg2HgPd at its relaxed geometry, from Alexandria via LeMat-Bulk.

Cell lengths 7.5107, 7.5107, 6.0426 Å; angles 51.58, 51.58, 90.00 degrees
With the nearest neighbours (Å) after each atom.
Sites, in units of the cell vectors:
Pd 0.2500 0.7500 0.5000  4 Mg 2.61, 2 Hg 2.88
Pd 0.5000 0.5000 0.0000  4 Mg 2.61, 2 Hg 2.88
Hg 0.0000 0.0000 0.0000  2 Pd 2.88, 4 Mg 2.90
Mg 0.5969 0.1250 0.2500  2 Pd 2.61, 2 Hg 2.90, 2 Mg 2.91
Mg 0.3750 0.4031 0.7500  2 Pd 2.61, 2 Hg 2.90, 2 Mg 2.91
Mg 0.8750 0.8469 0.7500  2 Pd 2.61, 2 Hg 2.90, 2 Mg 2.91
Hg 0.7500 0.2500 0.5000  2 Pd 2.88, 4 Mg 2.90
Mg 0.1531 0.6250 0.2500  2 Pd 2.61, 2 Hg 2.90, 2 Mg 2.91

Properties
Formation energy from the elements in meV/atom: -200.7
Fermi-level density of states in states/eV per atom: 0.31
DFT total energy in eV/atom: -2.37

4.
The following is a GGA-PBE calculation of crystalline Sm3SbO at its relaxed geometry, from Alexandria via LeMat-Bulk.

Cell lengths 4.8846, 4.8846, 4.8846 Å; angles 90.00, 90.00, 90.00 degrees
With the nearest neighbours (Å) after each atom.
Sites, in units of the cell vectors:
Sm 0.0000 0.0000 0.5000  2 O 2.44
O 0.0000 0.0000 0.0000  6 Sm 2.44
Sm 0.0000 0.5000 0.0000  2 O 2.44
Sb 0.5000 0.5000 0.5000  12 Sm 3.45
Sm 0.5000 0.0000 0.0000  2 O 2.44

Properties
Fermi-level density of states in states/eV per atom: 0.89
DFT total energy in eV/atom: -6.12
Formation energy from raw total energies in kcal/mol of atoms: -34.1
E above lowest polymorph in eV per atom: 0.000

5.
The following is a GGA-PBE calculation of crystalline Cs3LiTc at its relaxed geometry, from Alexandria via LeMat-Bulk.

Cell lengths 6.1700, 6.1700, 6.1700 Å; angles 90.00, 90.00, 90.00 degrees
With the nearest neighbours (Å) after each atom.
Sites, in units of the cell vectors:
Cs 0.0000 0.0000 0.5000  2 Tc 3.09
Tc 0.0000 0.0000 0.0000  6 Cs 3.09
Cs 0.0000 0.5000 0.0000  2 Tc 3.09
Li 0.5000 0.5000 0.5000  12 Cs 4.36
Cs 0.5000 0.0000 0.0000  2 Tc 3.09

Properties
Formation energy from the elements in meV/atom: 1179.9
Fermi-level density of states in states/eV per atom: 0.93
DFT total energy in eV/atom: -1.79
E above lowest polymorph in eV per atom: 0.000

6.
The following is a GGA-PBE calculation of crystalline TmCdGaAu at its relaxed geometry, from Alexandria via LeMat-Bulk.

Cell lengths 4.8761, 4.8761, 4.8761 Å; angles 60.00, 60.00, 60.00 degrees
With the nearest neighbours (Å) after each atom.
Sites, in units of the cell vectors:
Au 0.5000 0.5000 0.5000  4 Cd 2.99, 4 Tm 2.99
Cd 0.7500 0.7500 0.7500  4 Au 2.99, 4 Ga 2.99
Ga 0.0000 0.0000 0.0000  4 Cd 2.99, 4 Tm 2.99
Tm 0.2500 0.2500 0.2500  4 Ga 2.99, 4 Au 2.99

Properties
Formation energy from the elements in meV/atom: -502.0
Fermi-level density of states in states/eV per atom: 0.69
DFT total energy in eV/atom: -3.42